Entry 1:
Below is a geometry-optimized Er2Ga4Pd3Rh structure, with properties calculated at the PBE-GGA level.

Cell and atoms, written as extended XYZ:
```
10
Lattice="4.1345 0.0000 0.0000 0.0000 4.1345 0.0000 0.0000 0.0000 10.7355" Properties=species:S:1:pos:R:3 pbc="T T T"
Er 0.0000 2.0673 2.5921
Er 2.0673 0.0000 8.1433
Ga 0.0000 0.0000 5.3677
Ga 0.0000 2.0673 9.3401
Ga 2.0673 0.0000 1.3954
Ga 2.0673 2.0673 5.3677
Pd 0.0000 0.0000 0.0000
Pd 0.0000 2.0673 6.8784
Pd 2.0673 0.0000 3.8570
Rh 2.0673 2.0673 0.0000
```

## Properties
total magnetic moment	0.0	μB per formula unit
symmetry	P-4m2
energy relative to the elements	-7.8	eV per formula unit
crystal system	tetragonal
raw total energy	-5.195	eV per atom
DOS(E_F)	5.260	states/eV/f.u.

***

Entry 2:
Below is a geometry-optimized ErGaPdRh structure, with properties calculated at the PBE-GGA level.

Cell and atoms, written as extended XYZ:
```
4
Lattice="0.0000 3.2533 3.2533 3.2533 0.0000 3.2533 3.2533 3.2533 0.0000" Properties=species:S:1:pos:R:3 pbc="T T T"
Er 0.0000 0.0000 0.0000
Ga 3.2533 3.2533 3.2533
Pd 4.8800 4.8800 4.8800
Rh 1.6267 1.6267 1.6267
```

## Properties
total magnetic moment	0.0	μB per formula unit
symmetry	F-43m
energy relative to the elements	-3.2	eV per formula unit
crystal system	cubic
raw total energy	-5.843	eV per atom
DOS(E_F)	2.829	states/eV/f.u.

***

Entry 3:
Below is a geometry-optimized ErGa4PdRh2 structure, with properties calculated at the PBE-GGA level.

Cell and atoms, written as extended XYZ:
```
8
Lattice="2.1329 1.2314 8.4720 -2.1329 1.2314 8.4720 0.0000 -2.4628 8.4720" Properties=species:S:1:pos:R:3 pbc="T T T"
Er 0.0000 0.0000 0.0000
Ga 0.0000 0.0000 3.2724
Ga 0.0000 0.0000 10.0730
Ga 0.0000 0.0000 15.3429
Ga 0.0000 0.0000 22.1435
Pd 0.0000 0.0000 12.7080
Rh 0.0000 0.0000 5.9892
Rh 0.0000 0.0000 19.4267
```

## Properties
total magnetic moment	0.0	μB per formula unit
symmetry	R-3m
energy relative to the elements	-5.2	eV per formula unit
crystal system	trigonal
raw total energy	-5.215	eV per atom
DOS(E_F)	5.647	states/eV/f.u.

***

Entry 4:
Below is a geometry-optimized ErGa4Pd2Rh structure, with properties calculated at the PBE-GGA level.

Cell and atoms, written as extended XYZ:
```
8
Lattice="2.1394 1.2352 8.5576 -2.1394 1.2352 8.5576 0.0000 -2.4704 8.5576" Properties=species:S:1:pos:R:3 pbc="T T T"
Er 0.0000 0.0000 0.0000
Ga 0.0000 0.0000 3.3992
Ga 0.0000 0.0000 10.1969
Ga 0.0000 0.0000 15.4758
Ga 0.0000 0.0000 22.2735
Pd 0.0000 0.0000 6.1509
Pd 0.0000 0.0000 19.5218
Rh 0.0000 0.0000 12.8363
```

## Properties
total magnetic moment	0.0	μB per formula unit
symmetry	R-3m
energy relative to the elements	-5.1	eV per formula unit
crystal system	trigonal
raw total energy	-4.944	eV per atom
DOS(E_F)	5.513	states/eV/f.u.

***

What did the fourth record say?
Below is a geometry-optimized ErGa4Pd2Rh structure, with properties calculated at the PBE-GGA level.

Cell and atoms, written as extended XYZ:
```
8
Lattice="2.1394 1.2352 8.5576 -2.1394 1.2352 8.5576 0.0000 -2.4704 8.5576" Properties=species:S:1:pos:R:3 pbc="T T T"
Er 0.0000 0.0000 0.0000
Ga 0.0000 0.0000 3.3992
Ga 0.0000 0.0000 10.1969
Ga 0.0000 0.0000 15.4758
Ga 0.0000 0.0000 22.2735
Pd 0.0000 0.0000 6.1509
Pd 0.0000 0.0000 19.5218
Rh 0.0000 0.0000 12.8363
```

## Properties
total magnetic moment	0.0	μB per formula unit
symmetry	R-3m
energy relative to the elements	-5.1	eV per formula unit
crystal system	trigonal
raw total energy	-4.944	eV per atom
DOS(E_F)	5.513	states/eV/f.u.

***

> Among the records above, which one has the highest DOS(E_F)?

ErGa4PdRh2